{"formula": "SrNd4Bi5", "functional": "PBE", "state": "relaxed", "sg": "Immm (71)", "energy_ev_per_atom": -4.91, "ef_ev_per_atom": -0.891, "mass_density_g_cm3": 7.97, "cell": [[4.539, 0.000, -0.876], [-0.339, 6.333, -1.758], [0.033, 0.017, 12.374]], "species": ["Bi", "Nd", "Bi", "Bi", "Bi", "Bi", "Nd", "Nd", "Sr", "Nd"], "fractional_positions": [[0.801, 0.301, 0.602], [0.401, 0.401, 0.801], [0.199, 0.699, 0.398], [0.000, 0.500, 0.000], [0.394, 0.894, 0.788], [0.606, 0.106, 0.212], [0.798, 0.798, 0.597], [0.202, 0.202, 0.403], [0.000, 0.000, 0.000], [0.599, 0.599, 0.199]]}


{"formula": "Sr2BeBr", "functional": "PBE", "state": "relaxed", "sg": "Immm (71)", "e_form_raw_ev_per_atom": -0.208, "energy_ev_per_atom": -2.40, "e_above_lowest_polymorph_ev_per_atom": 0.266, "mass_density_g_cm3": 3.40, "cell": [[5.787, -0.020, -0.004], [0.369, 5.776, 0.004], [-2.436, -3.564, 3.854]], "species": ["Sr", "Br", "Sr", "Be"], "fractional_positions": [[0.496, 0.496, 0.000], [0.250, 0.750, 0.500], [0.004, 0.004, 0.000], [0.750, 0.250, 0.500]]}